No. 1
Here is a geometry-optimized Ba2Tl4CdPb2 structure from Alexandria via LeMat-Bulk. Energies are from PBE-GGA.

a = 7.5874 Å, b = 7.5874 Å, c = 7.5874 Å
α = 90.12°, β = 119.93°, γ = 119.93°
With the nearest neighbours (Å) after each atom.
Fractional positions:
Tl 0.4315 0.7158 0.7158  1 Cd 3.05, 2 Tl 3.28, 2 Pb 3.31
Cd 0.0000 0.0000 0.0000  2 Pb 3.00, 4 Tl 3.05
Pb 0.0000 0.2796 0.2796  1 Cd 3.00, 4 Tl 3.31
Tl 0.5685 0.2842 0.2842  1 Cd 3.05, 2 Tl 3.28, 2 Pb 3.31
Tl 0.0000 0.2842 0.7158  1 Cd 3.05, 2 Tl 3.28, 2 Pb 3.31
Ba 0.5000 0.7500 0.2500  4 Pb 3.81, 8 Tl 3.81
Pb 0.0000 0.7204 0.7204  1 Cd 3.00, 4 Tl 3.31
Tl 0.0000 0.7158 0.2842  1 Cd 3.05, 2 Tl 3.28, 2 Pb 3.31
Ba 0.5000 0.2500 0.7500  4 Pb 3.81, 8 Tl 3.81

Values from the calculation:
As for the energy relative to the elements: -255 meV per atom.

***

No. 2
Here is a geometry-optimized Pm6Nd2Y3Th structure from Alexandria via LeMat-Bulk. Energies are from PBE-GGA.

a = 6.2952 Å, b = 6.2952 Å, c = 12.0339 Å
α = 95.00°, β = 95.00°, γ = 119.95°
With the nearest neighbours (Å) after each atom.
Fractional positions:
Pm 0.0841 0.4133 0.2505  6 Pm 3.59-3.66, 3 Y 3.62-3.64, 1 Th 3.62, 2 Nd 3.64-3.65
Y 0.1668 0.8332 0.5000  6 Pm 3.62-3.64, 6 Y 3.63-3.64
Pm 0.9159 0.5867 0.7495  6 Pm 3.59-3.66, 3 Y 3.62-3.64, 1 Th 3.62, 2 Nd 3.64-3.65
Y 0.5000 0.5000 0.5000  6 Pm 3.62-3.64, 6 Y 3.63-3.64
Th 0.0000 0.0000 0.0000  6 Pm 3.62, 6 Nd 3.64
Y 0.8332 0.1668 0.5000  6 Pm 3.62-3.64, 6 Y 3.63-3.64
Pm 0.5867 0.9159 0.7495  6 Pm 3.59-3.66, 3 Y 3.62-3.64, 1 Th 3.62, 2 Nd 3.64-3.65
Nd 0.3336 0.6664 0.0000  3 Nd 3.63-3.64, 3 Th 3.64, 6 Pm 3.64-3.65
Nd 0.6664 0.3336 0.0000  3 Nd 3.63-3.64, 3 Th 3.64, 6 Pm 3.64-3.65
Pm 0.4133 0.0841 0.2505  6 Pm 3.59-3.66, 3 Y 3.62-3.64, 1 Th 3.62, 2 Nd 3.64-3.65
Pm 0.7551 0.7551 0.2505  6 Pm 3.59-3.66, 3 Y 3.62-3.64, 1 Th 3.62, 2 Nd 3.64
Pm 0.2449 0.2449 0.7495  6 Pm 3.59-3.66, 3 Y 3.62-3.64, 1 Th 3.62, 2 Nd 3.64

Values from the calculation:
As for the energy relative to the elements: 32 meV per atom.

***

No. 3
Here is a geometry-optimized K3NbRh2Se6 structure from Alexandria via LeMat-Bulk. Energies are from PBE-GGA.

a = 6.8060 Å, b = 6.8060 Å, c = 7.6259 Å
α = 98.58°, β = 98.58°, γ = 119.82°
With the nearest neighbours (Å) after each atom.
Fractional positions:
K 0.5000 0.5000 0.5000  6 Se 3.22-3.29
Rh 0.3331 0.6669 0.0000  6 Se 2.57-2.58
Se 0.0597 0.4042 0.1770  2 Rh 2.58, 1 Nb 2.68
Nb 0.0000 0.0000 0.0000  6 Se 2.68
Se 0.9403 0.5958 0.8230  2 Rh 2.58, 1 Nb 2.68
Se 0.2865 0.2865 0.8242  2 Rh 2.57, 1 Nb 2.68
Rh 0.6669 0.3331 0.0000  6 Se 2.57-2.58
Se 0.7135 0.7135 0.1758  2 Rh 2.57, 1 Nb 2.68
K 0.1639 0.8361 0.5000  6 Se 3.23-3.30
K 0.8361 0.1639 0.5000  6 Se 3.23-3.30
Se 0.4042 0.0597 0.1770  2 Rh 2.58, 1 Nb 2.68
Se 0.5958 0.9403 0.8230  2 Rh 2.58, 1 Nb 2.68

Values from the calculation:
The formation energy without anion corrections comes out at -0.720 eV per atom.

***

No. 4
Here is a geometry-optimized NdZnTc2O8 structure from Alexandria via LeMat-Bulk. Energies are from PBE-GGA.

a = 5.1808 Å, b = 5.1808 Å, c = 6.7674 Å
α = 112.51°, β = 112.51°, γ = 90.00°
With the nearest neighbours (Å) after each atom.
Fractional positions:
O 0.5793 0.6542 0.6588  1 Tc 1.82
Tc 0.5000 0.5000 0.0000  4 O 1.83
O 0.4268 0.3318 0.1714  1 Tc 1.83
O 0.6682 0.2554 0.8286  1 Tc 1.83
O 0.1604 0.5732 0.8286  1 Tc 1.83
O 0.9954 0.4207 0.3412  1 Tc 1.82
O 0.3458 0.9205 0.3412  1 Tc 1.82
O 0.7446 0.8396 0.1714  1 Tc 1.83
O 0.0795 0.0046 0.6588  1 Tc 1.82
Nd 0.0000 0.0000 0.0000  8 O 2.39-2.50
Zn 0.7500 0.2500 0.5000  8 O 2.31-2.41
Tc 0.2500 0.7500 0.5000  4 O 1.82

Values from the calculation:
The formation energy without anion corrections comes out at -1.690 eV per atom.

***

No. 5
Here is a geometry-optimized LaIrPd2 structure from Alexandria via LeMat-Bulk. Energies are from PBE-GGA.

a = 4.1509 Å, b = 4.1509 Å, c = 10.0216 Å
α = 78.05°, β = 78.05°, γ = 90.00°
With the nearest neighbours (Å) after each atom.
Fractional positions:
Ir 0.7500 0.2500 0.5000  4 Pd 2.75, 4 La 2.94
Ir 0.0000 0.0000 0.0000  4 Pd 2.75, 4 La 2.94
La 0.5000 0.5000 0.0000  4 Pd 2.88, 4 Ir 2.94
Pd 0.8750 0.9177 0.7500  2 Pd 2.70, 2 Ir 2.75, 2 La 2.88
La 0.2500 0.7500 0.5000  4 Pd 2.88, 4 Ir 2.94
Pd 0.6677 0.1250 0.2500  2 Pd 2.70, 2 Ir 2.75, 2 La 2.88
Pd 0.3750 0.3323 0.7500  2 Pd 2.70, 2 Ir 2.75, 2 La 2.88
Pd 0.0823 0.6250 0.2500  2 Pd 2.70, 2 Ir 2.75, 2 La 2.88

Values from the calculation:
As for the energy relative to the elements: -257 meV per atom.

***

No. 6
Here is a geometry-optimized Ca3Pu3NiN8 structure from Alexandria via LeMat-Bulk. Energies are from PBE-GGA.

a = 6.5306 Å, b = 6.7934 Å, c = 6.7640 Å
α = 119.50°, β = 90.00°, γ = 118.73°
With the nearest neighbours (Å) after each atom.
Fractional positions:
N 0.7495 0.9710 0.6855  1 Ni 2.06, 1 Pu 2.20
N 0.2505 0.0290 0.3145  1 Ni 2.06, 1 Pu 2.20
Ca 0.5000 0.5000 0.0000  6 N 2.43-2.63
Pu 0.5000 0.0000 0.5000  6 N 2.20-2.40
N 0.2687 0.5374 0.7226  2 Pu 2.15
N 0.7313 0.4626 0.2774  2 Pu 2.15
Ca 0.0000 0.0000 0.0000  6 N 2.54-2.55
N 0.7785 0.0290 0.3145  1 Ni 2.06, 1 Pu 2.20
N 0.2571 0.5141 0.2738  3 Pu 2.27-2.40, 3 Ca 2.43-2.54
N 0.2215 0.9710 0.6855  1 Ni 2.06, 1 Pu 2.20
Ni 0.0000 0.0000 0.5000  4 N 2.06
Pu 0.5000 0.5000 0.5000  6 N 2.15-2.35
Pu 0.0000 0.5000 0.5000  6 N 2.15-2.35
N 0.7429 0.4859 0.7262  3 Pu 2.27-2.40, 3 Ca 2.43-2.54
Ca 0.0000 0.5000 0.0000  6 N 2.43-2.63

Values from the calculation:
The formation energy without anion corrections comes out at -0.758 eV per atom.

***

No. 7
Here is a geometry-optimized Pr2In3Ga structure from Alexandria via LeMat-Bulk. Energies are from PBE-GGA.

a = 3.7797 Å, b = 4.9137 Å, c = 8.4913 Å
α = 90.00°, β = 90.00°, γ = 90.00°
With the nearest neighbours (Å) after each atom.
Fractional positions:
Pr 0.0000 0.0000 0.4927  8 In 3.30-3.46, 4 Ga 3.39
In 0.5000 0.0000 0.1741  2 Ga 2.80, 1 In 2.89
Ga 0.5000 0.5000 0.3314  3 In 2.77-2.80
In 0.5000 0.0000 0.8339  3 In 2.88-2.89
Pr 0.0000 0.5000 0.0099  2 Ga 3.32, 10 In 3.40-3.54
In 0.5000 0.5000 0.6579  1 Ga 2.77, 2 In 2.88

Values from the calculation:
As for the energy relative to the elements: -491 meV per atom.

***

No. 8
Here is a geometry-optimized TlHg2B structure from Alexandria via LeMat-Bulk. Energies are from PBE-GGA.

a = 6.2140 Å, b = 6.2140 Å, c = 7.4669 Å
α = 65.41°, β = 65.41°, γ = 90.00°
With the nearest neighbours (Å) after each atom.
Fractional positions:
Tl 0.7500 0.2500 0.5000  4 Hg 3.46
Hg 0.3084 0.6250 0.2500  2 B 2.21
Hg 0.8750 0.6916 0.7500  2 B 2.21
B 0.2500 0.7500 0.5000  4 Hg 2.21
Tl 0.0000 0.0000 0.0000  4 Hg 3.46
Hg 0.4416 0.1250 0.2500  2 B 2.21
B 0.5000 0.5000 0.0000  4 Hg 2.21
Hg 0.3750 0.5584 0.7500  2 B 2.21

Values from the calculation:
As for the energy relative to the elements: 578 meV per atom.

***

No. 9
Here is a geometry-optimized InFe2Cu structure from Alexandria via LeMat-Bulk. Energies are from PBE-GGA.

a = 4.3105 Å, b = 4.3105 Å, c = 4.3105 Å
α = 60.00°, β = 60.00°, γ = 60.00°
With the nearest neighbours (Å) after each atom.
Fractional positions:
Fe 0.2500 0.2500 0.2500  4 Fe 2.64, 4 Cu 2.64
Fe 0.0000 0.0000 0.0000  4 In 2.64, 4 Fe 2.64
In 0.7500 0.7500 0.7500  4 Cu 2.64, 4 Fe 2.64
Cu 0.5000 0.5000 0.5000  4 Fe 2.64, 4 In 2.64

Values from the calculation:
As for the energy relative to the elements: 206 meV per atom.

***

No. 10
Here is a geometry-optimized AcTeIO structure from Alexandria via LeMat-Bulk. Energies are from PBE-GGA.

a = 4.2860 Å, b = 4.2860 Å, c = 15.4794 Å
α = 90.00°, β = 90.00°, γ = 90.00°
With the nearest neighbours (Å) after each atom.
Fractional positions:
O 0.7500 0.2500 0.0000  4 Ac 2.49
O 0.2500 0.7500 0.0000  4 Ac 2.49
I 0.2500 0.2500 0.7931  4 Ac 3.60, 4 O 3.85
Ac 0.2500 0.2500 0.0814  4 O 2.49
Ac 0.7500 0.7500 0.9186  4 O 2.49
Te 0.7500 0.2500 0.5000  4 Te 3.03
I 0.7500 0.7500 0.2069  4 Ac 3.60, 4 O 3.85
Te 0.2500 0.7500 0.5000  4 Te 3.03

Values from the calculation:
The formation energy without anion corrections comes out at -2.039 eV per atom.

***

Number 1: total DFT energy (no corrections) -23.9 eV/cell, density 8.70 g/cm3. Number 2: total DFT energy (no corrections) -64.5 eV/cell, density 6.76 g/cm3. Number 3: total DFT energy (no corrections) -57.6 eV/cell, density 5.05 g/cm3. Number 4: total DFT energy (no corrections) -86.7 eV/cell, density 5.80 g/cm3. Number 5: total DFT energy (no corrections) -50.4 eV/cell, density 10.94 g/cm3. Number 6: total DFT energy (no corrections) -132.8 eV/cell, density 7.80 g/cm3. Number 7: total DFT energy (no corrections) -23.7 eV/cell, density 7.33 g/cm3. Number 8: total DFT energy (no corrections) -14.7 eV/cell, density 8.78 g/cm3. Number 9: total DFT energy (no corrections) -22.9 eV/cell, density 8.50 g/cm3. Number 10: total DFT energy (no corrections) -43.8 eV/cell, density 5.81 g/cm3.